# NpH3Ru, optimized geometry, DFT PBE
data_NpH3Ru
_cell_length_a 3.663
_cell_length_b 3.663
_cell_length_c 3.663
_cell_angle_alpha 90.00
_cell_angle_beta 90.00
_cell_angle_gamma 90.00
_space_group_name_H-M_alt 'P m -3 m'
_space_group_IT_number 221
_space_group_name_Hall '-P 4 2 3'
loop_
_atom_site_label
_atom_site_type_symbol
_atom_site_fract_x
_atom_site_fract_y
_atom_site_fract_z
Np1 Np 0.000 0.000 0.000
H1 H 0.000 0.500 0.500
Ru1 Ru 0.500 0.500 0.500
# Total magnetic moment (μB/f.u.): 3.9
# DOS(E_F) (states/eV per cell): 9.9
# DFT total energy (eV/atom): -6.564
# Density (g/cm3): 11.52